Ta3NbTc2: optimized geometry, PBE.

Unit cell a=3.209 b=3.209 c=9.823 alpha=90.00 beta=90.00 gamma=90.00
Element x y z (fractional)
Ta  0.000  0.000  0.323
Ta  0.000  0.000  0.000
Ta  0.000  0.000  0.677
Tc  0.500  0.500  0.838
Tc  0.500  0.500  0.162
Nb  0.500  0.500  0.500

Properties
Formation energy from the elements = -0.3511 eV/atom
Final energy = -11.41 eV per atom
Density of states at the Fermi level = 0.521 states/eV/atom
Spin magnetization = 0.00 Bohr magnetons per cell



IrPbSe3: optimized geometry, PBE.

Unit cell a=4.980 b=4.980 c=4.980 alpha=90.00 beta=90.00 gamma=90.00
Element x y z (fractional)
Se  0.000  0.000  0.500
Se  0.500  0.000  0.000
Se  0.000  0.500  0.000
Pb  0.500  0.500  0.500
Ir  0.000  0.000  0.000

Properties
Final energy = -4.40 eV per atom
Density of states at the Fermi level = 1.566 states/eV/atom
Spin magnetization = 0.00 Bohr magnetons per cell
Raw formation energy = 19.3 kJ per mole of atoms
Energy above the most stable polymorph in this dataset = 0.0000 eV/atom



PrTeBr2: optimized geometry, PBE.

Unit cell a=4.223 b=7.607 c=9.249 alpha=90.00 beta=90.00 gamma=106.12
Each line ends with the local moment (μB).
Element x y z (fractional)
Pr  0.746  0.492  0.750  0.00
Pr  0.254  0.508  0.250  0.00
Te  0.082  0.165  0.750  -0.44
Te  0.918  0.835  0.250  -0.44
Br  0.344  0.688  0.561  -0.04
Br  0.656  0.312  0.439  -0.04
Br  0.344  0.688  0.939  -0.04
Br  0.656  0.312  0.061  -0.04

Properties
Final energy = -4.12 eV per atom
Density of states at the Fermi level = 0.392 states/eV/atom
Spin magnetization = 1.95 Bohr magnetons per cell
Raw formation energy = -126.0 kJ per mole of atoms



Sc4GaBi: optimized geometry, PBE.

Unit cell a=5.643 b=7.170 c=8.040 alpha=102.26 beta=110.54 gamma=90.00
Element x y z (fractional)
Ga  0.000  0.500  0.500
Ga  0.500  0.000  0.500
Sc  0.702  0.371  0.668
Sc  0.298  0.629  0.332
Sc  0.545  0.064  0.850
Sc  0.966  0.871  0.668
Sc  0.034  0.129  0.332
Sc  0.455  0.936  0.150
Sc  0.695  0.436  0.150
Sc  0.305  0.564  0.850
Bi  0.873  0.750  0.000
Bi  0.127  0.250  0.000

Properties
Formation energy from the elements = -0.2591 eV/atom
Final energy = -5.63 eV per atom
Density of states at the Fermi level = 1.212 states/eV/atom
Spin magnetization = 0.00 Bohr magnetons per cell



Cs2UCd2As4: optimized geometry, PBE.

Unit cell a=4.383 b=8.598 c=8.132 alpha=106.22 beta=105.63 gamma=90.00
Each line ends with the local moment (μB).
Element x y z (fractional)
As  0.503  0.793  0.005  -0.01
As  0.185  0.169  0.370  -0.01
As  0.497  0.207  0.995  -0.01
As  0.815  0.831  0.630  -0.01
Cs  0.135  0.568  0.269  0.00
Cs  0.865  0.432  0.731  0.00
Cd  0.327  0.021  0.654  0.00
Cd  0.673  0.979  0.346  0.00
U  0.000  0.000  0.000  0.19

Properties
Formation energy from the elements = -0.4552 eV/atom
Final energy = -4.17 eV per atom
Density of states at the Fermi level = 0.088 states/eV/atom
Spin magnetization = 0.09 Bohr magnetons per cell



Na3LiPa3S8: optimized geometry, PBE.

Unit cell a=7.953 b=7.953 c=8.107 alpha=119.38 beta=90.00 gamma=120.00
Each line ends with the local moment (μB).
Element x y z (fractional)
Na  0.000  0.000  0.000  0.00
Na  0.000  0.500  0.000  0.00
Na  0.500  0.500  0.000  0.00
Li  0.000  0.000  0.500  0.00
Pa  0.500  0.000  0.500  0.92
Pa  0.500  0.500  0.500  0.92
Pa  0.000  0.500  0.500  0.92
S  0.744  0.489  0.733  -0.03
S  0.256  0.511  0.267  -0.03
S  0.758  0.516  0.282  -0.03
S  0.267  0.025  0.282  -0.03
S  0.242  0.484  0.718  -0.03
S  0.758  0.025  0.282  -0.03
S  0.242  0.975  0.718  -0.03
S  0.733  0.975  0.718  -0.03

Properties
Final energy = -5.95 eV per atom
Density of states at the Fermi level = 1.060 states/eV/atom
Spin magnetization = 3.01 Bohr magnetons per cell
Raw formation energy = -140.9 kJ per mole of atoms



LiZrInTe3: optimized geometry, PBE.

Unit cell a=4.175 b=9.189 c=9.864 alpha=106.70 beta=90.00 gamma=90.00
Element x y z (fractional)
In  0.750  0.800  0.744
In  0.250  0.200  0.256
Te  0.750  0.238  0.536
Te  0.750  0.884  0.117
Te  0.750  0.448  0.156
Te  0.250  0.762  0.464
Te  0.250  0.552  0.844
Te  0.250  0.116  0.883
Li  0.750  0.922  0.400
Li  0.250  0.078  0.600
Zr  0.750  0.323  0.840
Zr  0.250  0.677  0.160

Properties
Final energy = -4.48 eV per atom
Density of states at the Fermi level = 0.055 states/eV/atom
Spin magnetization = 0.00 Bohr magnetons per cell
Raw formation energy = -68.0 kJ per mole of atoms



KNaWN3: optimized geometry, PBE.

Unit cell a=5.568 b=6.154 c=6.545 alpha=61.96 beta=89.95 gamma=89.89
Each line ends with the local moment (μB).
Element x y z (fractional)
W  0.250  0.945  0.110  -0.10
W  0.750  0.055  0.890  -0.10
K  0.750  0.731  0.539  0.00
K  0.250  0.269  0.461  0.00
N  0.750  0.211  0.577  0.21
N  0.500  0.214  0.001  0.28
N  0.000  0.214  0.999  0.28
N  0.250  0.789  0.423  0.21
N  0.500  0.786  0.999  0.28
N  0.000  0.786  0.001  0.28
Na  0.250  0.577  0.845  0.00
Na  0.750  0.423  0.155  0.00

Properties
Final energy = -6.95 eV per atom
Density of states at the Fermi level = 0.539 states/eV/atom
Spin magnetization = 2.03 Bohr magnetons per cell
Raw formation energy = -22.2 kJ per mole of atoms



CrTcCl2: optimized geometry, PBE.

Unit cell a=2.921 b=3.165 c=8.600 alpha=90.65 beta=90.00 gamma=90.00
Each line ends with the local moment (μB).
Element x y z (fractional)
Cl  0.000  0.885  0.924  -0.02
Cl  0.500  0.366  0.331  0.00
Cr  0.000  0.372  0.539  1.72
Tc  0.500  0.877  0.707  -0.55

Properties
Final energy = -6.11 eV per atom
Density of states at the Fermi level = 0.631 states/eV/atom
Spin magnetization = 1.24 Bohr magnetons per cell
Raw formation energy = -18.4 kJ per mole of atoms
Energy above the most stable polymorph in this dataset = 0.0000 eV/atom